A relaxed structure of MnAgIO2, computed with GGA+U.

Unit cell a=3.891 b=3.891 c=6.644 alpha=90.00 beta=90.00 gamma=90.00
Positions (direct):
1 I 0.000 0.000 0.500
2 Mn 0.000 0.000 0.000
3 O 0.000 0.500 0.000
4 O 0.500 0.000 0.000
5 Ag 0.500 0.500 0.500

Output
- excess energy over the best structure of this formula in the dataset (kJ/mol of atoms) = 0.00
- energy (eV per cell) = -23.90